Here is crystalline HoPd2O4 at its relaxed geometry from Alexandria. Energies are from PBE.

a b c (Å): 6.518 9.760 11.310
angles (deg): 90.00 90.00 90.00
Space group Fddd (No. 70, origin choice 2)
Unique sites:
Ho (0.125, 0.125, 0.125)
Pd (0.000, 0.000, 0.500)
O (0.058, 0.295, 0.989)

Summary:
- total magnetic moment (μB per formula unit) = 0.000
- theoretical density (Mg/m³) = 8.2
- raw formation energy (eV/atom) = -1.38